[1]
LiThAu | PBE | relaxed

Structure (POSCAR):
```
LiThAu
1.0
0.000 3.419 3.419
3.419 0.000 3.419
3.419 3.419 0.000
Li Th Au
1 1 1
direct
0.000 0.000 0.000
0.500 0.500 0.500
0.250 0.250 0.250
```

## Properties
Crystal system = cubic
ΔE to the lowest computed polymorph = 0.246 eV per atom
Volume = 79.9 Å³ per cell
Calculated formation energy = -230 meV/atom
Spin magnetization = 0.0 μB/cell
SG = F-43m (216)

=====

[2]
LiThAu3 | PBE | relaxed

Structure (POSCAR):
```
LiThAu3
1.0
1.687 -13.244 0.000
1.687 13.244 0.000
0.000 0.000 4.770
Li Th Au
2 2 6
direct
0.212 0.788 0.750
0.788 0.212 0.250
0.080 0.920 0.250
0.920 0.080 0.750
0.313 0.687 0.750
0.368 0.632 0.250
0.474 0.526 0.250
0.526 0.474 0.750
0.632 0.368 0.750
0.687 0.313 0.250
```

## Properties
Crystal system = orthorhombic
ΔE to the lowest computed polymorph = 0.000 eV per atom
Volume = 213.2 Å³ per cell
Calculated formation energy = -546 meV/atom
Spin magnetization = 0.0 μB/cell
SG = Cmcm (63)

=====

[3]
Li2Th3Au9 | PBE | relaxed

Structure (POSCAR):
```
Li2Th3Au9
1.0
-2.038 5.482 6.708
2.038 -5.482 6.708
2.038 5.482 -6.708
Li Th Au
2 3 9
direct
0.189 0.000 0.189
0.811 0.000 0.811
0.207 0.207 0.000
0.500 0.500 0.000
0.793 0.793 0.000
0.000 0.500 0.500
0.054 0.359 0.695
0.229 0.858 0.371
0.336 0.641 0.695
0.487 0.858 0.629
0.513 0.142 0.371
0.664 0.359 0.305
0.771 0.142 0.629
0.946 0.641 0.305
```

## Properties
Crystal system = orthorhombic
Volume = 299.8 Å³ per cell
Calculated formation energy = -557 meV/atom
Spin magnetization = 0.0 μB/cell
SG = Immm (71)

=====

[4]
LiThAu2 | PBE | relaxed

Structure (POSCAR):
```
LiThAu2
1.0
2.310 1.334 4.708
-2.310 1.334 4.708
0.000 -2.667 4.708
Li Th Au
1 1 2
direct
0.000 0.000 0.000
0.500 0.500 0.500
0.279 0.279 0.279
0.721 0.721 0.721
```

## Properties
Crystal system = trigonal
ΔE to the lowest computed polymorph = 0.000 eV per atom
Volume = 87.0 Å³ per cell
Calculated formation energy = -635 meV/atom
Spin magnetization = 0.0 μB/cell
SG = R-3m (166)

=====

[5]
Li3ThAu3 | PBE | relaxed

Structure (POSCAR):
```
Li3ThAu3
1.0
6.627 0.000 0.000
0.000 6.627 0.000
0.000 0.000 6.627
Li Th Au
6 2 6
direct
0.000 0.250 0.500
0.000 0.750 0.500
0.250 0.500 0.000
0.500 0.000 0.250
0.500 0.000 0.750
0.750 0.500 0.000
0.000 0.000 0.000
0.500 0.500 0.500
0.000 0.500 0.250
0.000 0.500 0.750
0.250 0.000 0.500
0.500 0.250 0.000
0.500 0.750 0.000
0.750 0.000 0.500
```

## Properties
Crystal system = cubic
Volume = 291.0 Å³ per cell
Calculated formation energy = -44 meV/atom
Spin magnetization = 0.0 μB/cell
SG = Pm-3n (223)

=====

[6]
Li3ThAu4 | PBE | relaxed

Structure (POSCAR):
```
Li3ThAu4
1.0
-3.415 3.415 3.415
3.415 -3.415 3.415
3.415 3.415 -3.415
Li Th Au
3 1 4
direct
0.000 0.500 0.500
0.500 0.000 0.500
0.500 0.500 0.000
0.000 0.000 0.000
0.000 0.000 0.500
0.000 0.500 0.000
0.500 0.000 0.000
0.500 0.500 0.500
```

## Properties
Crystal system = cubic
Volume = 159.3 Å³ per cell
Calculated formation energy = -455 meV/atom
Spin magnetization = 0.0 μB/cell
SG = Im-3m (229)

=====

[7]
Li2ThAu | PBE | relaxed

Structure (POSCAR):
```
Li2ThAu
1.0
1.604 0.926 10.463
-1.604 0.926 10.463
0.000 -1.852 10.463
Li Th Au
2 1 1
direct
0.103 0.103 0.103
0.897 0.897 0.897
0.000 0.000 0.000
0.500 0.500 0.500
```

## Properties
Crystal system = trigonal
Volume = 93.3 Å³ per cell
Calculated formation energy = 26 meV/atom
Spin magnetization = 0.0 μB/cell
SG = R-3m (166)

=====

[8]
LiThAu | PBE | relaxed

Structure (POSCAR):
```
LiThAu
1.0
4.692 0.000 0.000
-2.346 4.064 0.000
0.000 0.000 3.484
Li Th Au
1 1 1
direct
0.000 0.000 0.000
0.667 0.333 0.500
0.333 0.667 0.000
```

## Properties
Crystal system = hexagonal
ΔE to the lowest computed polymorph = 0.084 eV per atom
Volume = 66.4 Å³ per cell
Calculated formation energy = -392 meV/atom
Spin magnetization = 0.0 μB/cell
SG = P-6m2 (187)